Record 1
CoCu2I8: relaxed, PBE.

## Properties
Its uncorrected formation energy is -0.04 eV/f.u. The size of the total moment comes out at 2.264 μB per cell. The crystal system is monoclinic.

Geometry as CIF:
```
data_CoCu2I8
_cell_length_a 7.3780
_cell_length_b 7.3780
_cell_length_c 9.8469
_cell_angle_alpha 91.91
_cell_angle_beta 91.91
_cell_angle_gamma 106.36
_space_group_name_H-M_alt 'P 1'
_space_group_IT_number 1
loop_
_space_group_symop_operation_xyz
'x,y,z'
loop_
_atom_site_label
_atom_site_fract_x
_atom_site_fract_y
_atom_site_fract_z
_atom_site_occupancy
Co1 0.0000 0.0000 0.0000 1
Cu1 0.2667 0.2667 0.3095 1
Cu2 0.7333 0.7333 0.6905 1
I1 0.0299 0.7272 0.8510 1
I2 0.1667 0.1667 0.5477 1
I3 0.2728 0.9701 0.1490 1
I4 0.4610 0.4610 0.7491 1
I5 0.5390 0.5390 0.2509 1
I6 0.7272 0.0299 0.8510 1
I7 0.8333 0.8333 0.4523 1
I8 0.9701 0.2728 0.1490 1
```

Record 2
Nd3N2Cl2: relaxed, PBE.

## Properties
Its uncorrected formation energy is -11.66 eV/f.u. The size of the total moment comes out at 0.000 μB per cell. The crystal system is triclinic.

Geometry as CIF:
```
data_Nd3N2Cl2
_cell_length_a 3.6029
_cell_length_b 6.4081
_cell_length_c 7.2997
_cell_angle_alpha 80.23
_cell_angle_beta 89.98
_cell_angle_gamma 73.76
_space_group_name_H-M_alt 'P 1'
_space_group_IT_number 1
loop_
_space_group_symop_operation_xyz
'x,y,z'
loop_
_atom_site_label
_atom_site_fract_x
_atom_site_fract_y
_atom_site_fract_z
_atom_site_occupancy
Nd1 0.0000 0.0000 0.0000 1
Nd2 0.2267 0.5475 0.7923 1
Nd3 0.7733 0.4525 0.2077 1
N1 0.3638 0.2724 0.0647 1
N2 0.6362 0.7276 0.9353 1
Cl1 0.1244 0.7520 0.3775 1
Cl2 0.8756 0.2480 0.6225 1
```

Record 3
MgZnGa2Ni: relaxed, PBE.

## Properties
The energy of formation comes out at 9.13 kcal/mol of atoms. The size of the total moment comes out at 0.000 μB per cell. The crystal system is tetragonal.

Geometry as CIF:
```
data_MgZnGa2Ni
_cell_length_a 4.7013
_cell_length_b 4.7013
_cell_length_c 4.5475
_cell_angle_alpha 90.00
_cell_angle_beta 90.00
_cell_angle_gamma 90.00
_space_group_name_H-M_alt 'P 1'
_space_group_IT_number 1
loop_
_space_group_symop_operation_xyz
'x,y,z'
loop_
_atom_site_label
_atom_site_fract_x
_atom_site_fract_y
_atom_site_fract_z
_atom_site_occupancy
Mg1 0.0000 0.0000 0.0000 1
Zn1 0.5000 0.5000 0.5000 1
Ga1 0.0000 0.5000 0.5000 1
Ga2 0.5000 0.0000 0.5000 1
Ni1 0.5000 0.5000 0.0000 1
```

Record 4
Dy5TmTe6: relaxed, PBE.

## Properties
Its uncorrected formation energy is -15.13 eV/f.u. The size of the total moment comes out at 0.000 μB per cell. The crystal system is monoclinic.

Geometry as CIF:
```
data_Dy5TmTe6
_cell_length_a 7.5360
_cell_length_b 7.5360
_cell_length_c 7.5107
_cell_angle_alpha 99.62
_cell_angle_beta 99.62
_cell_angle_gamma 120.15
_space_group_name_H-M_alt 'P 1'
_space_group_IT_number 1
loop_
_space_group_symop_operation_xyz
'x,y,z'
loop_
_atom_site_label
_atom_site_fract_x
_atom_site_fract_y
_atom_site_fract_z
_atom_site_occupancy
Dy1 0.0000 0.0000 0.0000 1
Dy2 0.1678 0.8322 0.5000 1
Dy3 0.3290 0.6710 0.0000 1
Dy4 0.6710 0.3290 0.0000 1
Dy5 0.8322 0.1678 0.5000 1
Tm1 0.5000 0.5000 0.5000 1
Te1 0.0884 0.4171 0.2525 1
Te2 0.2539 0.2539 0.7503 1
Te3 0.4171 0.0884 0.2525 1
Te4 0.5829 0.9116 0.7475 1
Te5 0.7461 0.7461 0.2497 1
Te6 0.9116 0.5829 0.7475 1
```